## Al2ZnCu (PBEsol)

Data for Al2ZnCu after structural relaxation.

abc: 3.059 3.986 4.929
angles: 90.00 107.23 90.00
Space group Pm (No. 6)
Asymmetric unit:
Al1 0.000 0.000 0.000
Al2 0.307 0.500 0.634
Zn1 0.726 0.000 0.464
Cu1 0.572 0.500 0.159

Output
electronic total energy	-0.264	Ry/atom
DOS(E_F)	0.25	states/eV per atom
ΔE_f	-0.0614	eV per atom
calculated volume	14.4	Å³ per atom